# Dy14ThMg PBE-GGA optimized geometry
# - DFT total energy: -4.575 eV/atom
# - Crystal system: orthorhombic
data_Dy14ThMg
_chemical_formula_sum 'Dy28 Th2 Mg2'
_cell_length_a 9.9992
_cell_length_b 9.9650
_cell_length_c 9.9572
_cell_angle_alpha 90.00
_cell_angle_beta 90.00
_cell_angle_gamma 90.00
_symmetry_space_group_name_H-M 'A m m 2'
_symmetry_Int_Tables_number 38
loop_
_symmetry_equiv_pos_as_xyz
'x,y,z'
'-x,-y,z'
'-x,y,z'
'x,-y,z'
'x,y+1/2,z+1/2'
'-x,-y+1/2,z+1/2'
'-x,y+1/2,z+1/2'
'x,-y+1/2,z+1/2'
loop_
_atom_site_label
_atom_site_fract_x
_atom_site_fract_y
_atom_site_fract_z
Dy1 0.0000 0.0000 0.9999
Dy2 0.0000 0.0000 0.5000
Dy3 0.0000 0.2500 0.2499
Dy4 0.2516 0.0000 0.2469
Dy5 0.2518 0.0000 0.7529
Dy6 0.2516 0.2466 0.9999
Dy7 0.5000 0.2500 0.2499
Th1 0.5000 0.0000 0.9999
Mg1 0.5000 0.0000 0.4993